w) Material: CoSn2Hg2
Method: DFT, PBE
State: optimized geometry

abc: 7.130 7.130 4.637
angles: 90.00 90.00 90.00
Site moments in Bohr magnetons follow the coordinates.
Sites, in units of the cell vectors:
Hg: 0.153 0.347 0.000  -0.01
Sn: 0.834 0.334 0.500  -0.01
Hg: 0.347 0.847 0.000  -0.01
Co: 0.000 0.000 0.000  1.66
Hg: 0.653 0.153 0.000  -0.01
Hg: 0.847 0.653 0.000  -0.01
Co: 0.500 0.500 0.000  1.63
Sn: 0.666 0.834 0.500  -0.01
Sn: 0.334 0.166 0.500  -0.01
Sn: 0.166 0.666 0.500  -0.01

**Crystal system**: tetragonal
**Space group**: P4/mbm
**Total magnetic moment**: 1.6 μB/f.u.

---

x) Material: CoSn2Hg2
Method: DFT, PBE
State: optimized geometry

abc: 6.808 6.808 5.984
angles: 90.00 90.00 90.00
Sites, in units of the cell vectors:
Sn: 0.267 0.233 0.000
Hg: 0.829 0.329 0.500
Hg: 0.171 0.671 0.500
Sn: 0.233 0.733 0.000
Hg: 0.671 0.829 0.500
Co: 0.000 0.000 0.000
Hg: 0.329 0.171 0.500
Sn: 0.733 0.767 0.000
Co: 0.500 0.500 0.000
Sn: 0.767 0.267 0.000

**Crystal system**: tetragonal
**Space group**: P4/mbm
**Total magnetic moment**: 0.0 μB/f.u.

---

y) Material: CoSn2Hg2
Method: DFT, PBE
State: optimized geometry

abc: 4.055 4.055 8.400
angles: 76.03 76.03 90.00
Site moments in Bohr magnetons follow the coordinates.
Sites, in units of the cell vectors:
Hg: 0.588 0.588 0.824  0.00
Co: 0.000 0.000 0.000  2.01
Hg: 0.412 0.412 0.176  0.00
Sn: 0.750 0.250 0.500  -0.01
Sn: 0.250 0.750 0.500  -0.01

**Crystal system**: tetragonal
**Space group**: I4/mmm
**Total magnetic moment**: 1.9 μB/f.u.

---

We find x) to be the most stable, with the next structure 0.208 eV/atom higher.

---

w) Material: Co2SnHg
Method: DFT, PBE
State: optimized geometry

abc: 7.061 7.061 5.726
angles: 51.94 51.94 90.00
Site moments in Bohr magnetons follow the coordinates.
Sites, in units of the cell vectors:
Co: 0.375 0.385 0.750  0.98
Co: 0.135 0.625 0.250  1.02
Hg: 0.750 0.250 0.500  -0.02
Co: 0.875 0.865 0.750  1.01
Co: 0.615 0.125 0.250  0.99
Sn: 0.250 0.750 0.500  -0.06
Sn: 0.500 0.500 0.000  -0.06
Hg: 0.000 0.000 0.000  -0.02

**Crystal system**: tetragonal
**Space group**: I-42d
**Total magnetic moment**: 1.9 μB/f.u.

---

x) Material: Co2SnHg
Method: DFT, PBE
State: optimized geometry

abc: 4.434 4.434 4.434
angles: 60.00 60.00 60.00
Site moments in Bohr magnetons follow the coordinates.
Sites, in units of the cell vectors:
Co: 0.250 0.250 0.250  0.49
Sn: 0.000 0.000 0.000  -0.03
Co: 0.750 0.750 0.750  0.49
Hg: 0.500 0.500 0.500  -0.03

**Crystal system**: cubic
**Space group**: Fm-3m
**Total magnetic moment**: 0.9 μB/f.u.

---

We find x) to be the most stable, with the next structure 0.325 eV/atom higher.

---

w) Material: TaCoHg
Method: DFT, PBE
State: optimized geometry

abc: 5.959 5.959 2.984
angles: 75.51 75.49 29.00
Site moments in Bohr magnetons follow the coordinates.
Sites, in units of the cell vectors:
Ta: 0.641 0.641 0.359  0.00
Hg: 0.344 0.344 0.656  0.00
Co: 0.015 0.015 0.985  0.55

**Crystal system**: tetragonal
**Space group**: I4mm
**Total magnetic moment**: 0.6 μB/f.u.

---

x) Material: TaCoHg
Method: DFT, PBE
State: optimized geometry

abc: 4.458 4.458 2.835
angles: 90.00 90.00 120.00
Site moments in Bohr magnetons follow the coordinates.
Sites, in units of the cell vectors:
Ta: 0.333 0.667 0.719  -0.05
Co: 0.000 0.000 0.054  0.51
Hg: 0.667 0.333 0.227  0.00

**Crystal system**: trigonal
**Space group**: P3m1
**Total magnetic moment**: 0.4 μB/f.u.

---

We find w) to be the most stable, with the next structure 0.181 eV/atom higher.

---

w) Material: Tb3CoHg
Method: DFT, PBE
State: optimized geometry

abc: 5.159 5.159 5.159
angles: 90.00 90.00 90.00
Sites, in units of the cell vectors:
Hg: 0.500 0.500 0.500
Tb: 0.000 0.000 0.500
Tb: 0.500 0.000 0.000
Tb: 0.000 0.500 0.000
Co: 0.000 0.000 0.000

**Crystal system**: cubic
**Space group**: Pm-3m
**Total magnetic moment**: 0.0 μB/f.u.

---

x) Material: Tb3CoHg
Method: DFT, PBE
State: optimized geometry

abc: 5.559 6.519 8.544
angles: 114.97 84.14 114.40
Sites, in units of the cell vectors:
Tb: 0.136 0.369 0.685
Tb: 0.126 0.189 0.222
Tb: 0.874 0.811 0.778
Co: 0.063 0.319 0.978
Co: 0.937 0.681 0.022
Tb: 0.864 0.631 0.315
Hg: 0.392 0.756 0.519
Tb: 0.539 0.220 0.881
Tb: 0.461 0.780 0.119
Hg: 0.608 0.244 0.481

**Crystal system**: triclinic
**Space group**: P-1
**Total magnetic moment**: 0.0 μB/f.u.

---

We find x) to be the most stable, with the next structure 0.136 eV/atom higher.

---

w) Material: Tb7Co2Hg2
Method: DFT, PBE
State: optimized geometry

abc: 3.826 9.468 9.468
angles: 60.41 78.34 78.34
Sites, in units of the cell vectors:
Tb: 0.500 0.986 0.014
Co: 0.500 0.356 0.644
Hg: 0.738 0.861 0.663
Tb: 0.400 0.706 0.493
Hg: 0.262 0.337 0.139
Co: 0.000 0.780 0.220
Tb: 0.600 0.507 0.294
Tb: 0.889 0.389 0.833
Tb: 0.825 0.058 0.293
Tb: 0.175 0.707 0.942
Tb: 0.111 0.167 0.611

**Crystal system**: orthorhombic
**Space group**: Imm2
**Total magnetic moment**: 0.0 μB/f.u.

---

x) Material: Tb7Co2Hg2
Method: DFT, PBE
State: optimized geometry

abc: 6.704 7.053 6.704
angles: 90.00 109.24 90.00
Sites, in units of the cell vectors:
Tb: 0.500 0.756 0.000
Co: 0.293 0.000 0.707
Tb: 0.000 0.000 0.000
Tb: 0.000 0.244 0.500
Tb: 0.000 0.756 0.500
Hg: 0.185 0.500 0.185
Co: 0.707 0.000 0.293
Tb: 0.500 0.765 0.500
Tb: 0.500 0.244 0.000
Hg: 0.815 0.500 0.815
Tb: 0.500 0.235 0.500

**Crystal system**: orthorhombic
**Space group**: Cmmm
**Total magnetic moment**: 0.0 μB/f.u.

---

We find w) to be the most stable, with the next structure 0.011 eV/atom higher.

---

w) Material: CoTcHg
Method: DFT, PBE
State: optimized geometry

abc: 2.816 2.816 6.786
angles: 90.00 90.00 120.00
Site moments in Bohr magnetons follow the coordinates.
Sites, in units of the cell vectors:
Co: 0.000 0.000 0.978  1.23
Hg: 0.667 0.333 0.323  -0.01
Tc: 0.333 0.667 0.699  0.10

**Crystal system**: trigonal
**Space group**: P3m1
**Total magnetic moment**: 1.3 μB/f.u.

---

x) Material: CoTcHg
Method: DFT, PBE
State: optimized geometry

abc: 6.098 6.098 2.819
angles: 76.63 76.63 26.73
Site moments in Bohr magnetons follow the coordinates.
Sites, in units of the cell vectors:
Hg: 0.661 0.661 0.339  0.00
Tc: 0.357 0.357 0.643  0.05
Co: 0.983 0.983 0.017  0.47

**Crystal system**: tetragonal
**Space group**: I4mm
**Total magnetic moment**: 0.5 μB/f.u.

---

y) Material: CoTcHg
Method: DFT, PBE
State: optimized geometry

abc: 4.367 4.367 2.780
angles: 90.00 90.00 120.00
Sites, in units of the cell vectors:
Co: 0.000 0.000 0.834
Hg: 0.667 0.333 0.333
Tc: 0.333 0.667 0.833

**Crystal system**: hexagonal
**Space group**: P-6m2
**Total magnetic moment**: 0.0 μB/f.u.

---

We find x) to be the most stable, with the next structure 0.097 eV/atom higher.

---

w) Material: CoTc2Hg2
Method: DFT, PBE
State: optimized geometry

abc: 7.909 7.909 2.996
angles: 90.00 90.00 90.00
Site moments in Bohr magnetons follow the coordinates.
Sites, in units of the cell vectors:
Tc: 0.600 0.900 0.500  0.13
Tc: 0.400 0.100 0.500  0.13
Hg: 0.193 0.307 0.000  0.00
Hg: 0.807 0.693 0.000  0.00
Co: 0.000 0.000 0.000  1.93
Hg: 0.693 0.193 0.000  0.00
Hg: 0.307 0.807 0.000  0.00
Tc: 0.900 0.400 0.500  0.17
Tc: 0.100 0.600 0.500  0.17
Co: 0.500 0.500 0.000  1.93

**Crystal system**: tetragonal
**Space group**: P4/mbm
**Total magnetic moment**: 2.2 μB/f.u.

---

x) Material: CoTc2Hg2
Method: DFT, PBE
State: optimized geometry

abc: 5.222 5.222 4.539
angles: 90.00 90.00 90.00
Site moments in Bohr magnetons follow the coordinates.
Sites, in units of the cell vectors:
Hg: 0.000 0.500 0.000  0.01
Co: 0.500 0.500 0.500  2.10
Hg: 0.500 0.000 0.000  0.01
Tc: 0.000 0.000 0.500  -0.24
Tc: 0.000 0.000 0.000  0.54

**Crystal system**: tetragonal
**Space group**: P4/mmm
**Total magnetic moment**: 2.5 μB/f.u.

---

y) Material: CoTc2Hg2
Method: DFT, PBE
State: optimized geometry

abc: 3.487 3.487 7.929
angles: 77.30 77.30 90.00
Site moments in Bohr magnetons follow the coordinates.
Sites, in units of the cell vectors:
Hg: 0.406 0.406 0.188  -0.02
Tc: 0.750 0.250 0.500  0.12
Hg: 0.594 0.594 0.812  -0.02
Tc: 0.250 0.750 0.500  0.12
Co: 0.000 0.000 0.000  1.60

**Crystal system**: tetragonal
**Space group**: I4/mmm
**Total magnetic moment**: 1.8 μB/f.u.

---

We find y) to be the most stable, with the next structure 0.157 eV/atom higher.

---

w) Material: Co3TcHg
Method: DFT, PBE
State: optimized geometry

abc: 4.682 4.682 4.682
angles: 90.00 90.00 90.00
Site moments in Bohr magnetons follow the coordinates.
Sites, in units of the cell vectors:
Co: 0.500 0.000 0.000  1.62
Co: 0.000 0.500 0.000  1.81
Tc: 0.500 0.500 0.500  3.01
Hg: 0.000 0.000 0.000  -0.05
Co: 0.000 0.000 0.500  2.09

**Crystal system**: cubic
**Space group**: Pm-3m
**Total magnetic moment**: 8.7 μB/f.u.

---

x) Material: Co3TcHg
Method: DFT, PBE
State: optimized geometry

abc: 4.420 4.420 4.420
angles: 90.00 90.00 90.00
Sites, in units of the cell vectors:
Co: 0.000 0.000 0.500
Hg: 0.500 0.500 0.500
Co: 0.500 0.000 0.000
Co: 0.000 0.500 0.000
Tc: 0.000 0.000 0.000

**Crystal system**: cubic
**Space group**: Pm-3m
**Total magnetic moment**: 0.1 μB/f.u.

---

We find x) to be the most stable, with the next structure 0.753 eV/atom higher.